(1)
The following is a PBE calculation of a relaxed structure of Cr2InHg, from Alexandria.

E_form (eV per atom): 0.434
V (Å³/f.u.): 74
Space-group type: R3m
D(E_F) (states/eV/cell): 3.2

Cell lengths 9.325, 9.325, 9.325 Å; angles 18.83, 18.83, 18.83 degrees
Each line ends with the local moment (μB).
Sites, in units of the cell vectors:
In (0.739, 0.739, 0.739)  -0.01
Cr (0.264, 0.264, 0.264)  -2.08
Cr (0.987, 0.987, 0.987)  1.99
Hg (0.510, 0.510, 0.510)  0.00

=====

(2)
The following is a PBE calculation of a relaxed structure of CrInHg4, from Alexandria.

E_form (eV per atom): 0.407
V (Å³/f.u.): 150
Space-group type: F-43m
D(E_F) (states/eV/cell): 3.2

Cell lengths 5.965, 5.965, 5.965 Å; angles 60.00, 60.00, 60.00 degrees
Each line ends with the local moment (μB).
Sites, in units of the cell vectors:
Hg (0.375, 0.375, 0.375)  -0.01
Hg (0.375, 0.876, 0.375)  -0.01
Hg (0.876, 0.375, 0.375)  -0.01
Hg (0.375, 0.375, 0.876)  -0.01
In (0.750, 0.750, 0.750)  -0.01
Cr (0.000, 0.000, 0.000)  4.10

=====

(3)
The following is a PBE calculation of a relaxed structure of CrInHg2, from Alexandria.

E_form (eV per atom): 0.373
V (Å³/f.u.): 87
Space-group type: F-43m
D(E_F) (states/eV/cell): 1.3

Cell lengths 4.977, 4.977, 4.977 Å; angles 60.00, 60.00, 60.00 degrees
Each line ends with the local moment (μB).
Sites, in units of the cell vectors:
Hg (0.750, 0.750, 0.750)  -0.04
Hg (0.000, 0.000, 0.000)  -0.02
In (0.250, 0.250, 0.250)  -0.07
Cr (0.500, 0.500, 0.500)  3.76

=====

(4)
The following is a PBE calculation of a relaxed structure of CrIn2Hg, from Alexandria.

E_form (eV per atom): 0.302
V (Å³/f.u.): 88
Space-group type: Cmmm
D(E_F) (states/eV/cell): 2.2

Cell lengths 5.250, 5.250, 3.385 Å; angles 90.00, 90.00, 109.49 degrees
Each line ends with the local moment (μB).
Sites, in units of the cell vectors:
Cr (0.500, 0.000, 0.500)  3.59
In (0.000, 0.000, 0.000)  -0.06
In (0.500, 0.500, 0.000)  -0.06
Hg (0.000, 0.500, 0.500)  -0.02

=====

(5)
The following is a PBE calculation of a relaxed structure of Cr2InHg, from Alexandria.

E_form (eV per atom): 0.450
V (Å³/f.u.): 75
Space-group type: P4/mmm
D(E_F) (states/eV/cell): 2.4

Cell lengths 4.665, 4.665, 3.445 Å; angles 90.00, 90.00, 90.00 degrees
Each line ends with the local moment (μB).
Sites, in units of the cell vectors:
In (0.000, 0.500, 0.500)  -0.12
Cr (0.500, 0.500, 0.000)  3.48
Cr (0.000, 0.000, 0.000)  3.48
Hg (0.500, 0.000, 0.500)  -0.03

=====

(6)
The following is a PBE calculation of a relaxed structure of CrIn2Hg, from Alexandria.

E_form (eV per atom): 0.245
V (Å³/f.u.): 92
Space-group type: Imm2
D(E_F) (states/eV/cell): 1.9

Cell lengths 6.851, 6.851, 6.851 Å; angles 153.72, 139.66, 48.79 degrees
Each line ends with the local moment (μB).
Sites, in units of the cell vectors:
Cr (0.499, 0.499, 0.000)  3.27
In (0.694, 0.194, 0.500)  -0.01
In (0.000, 0.000, 0.000)  -0.08
Hg (0.306, 0.806, 0.500)  0.00

=====

(7)
The following is a PBE calculation of a relaxed structure of CrInHg2, from Alexandria.

E_form (eV per atom): 0.300
V (Å³/f.u.): 91
Space-group type: R-3m
D(E_F) (states/eV/cell): 1.9

Cell lengths 9.540, 9.540, 9.540 Å; angles 20.24, 20.24, 20.24 degrees
Each line ends with the local moment (μB).
Sites, in units of the cell vectors:
Hg (0.492, 0.492, 0.492)  0.00
Hg (0.008, 0.008, 0.008)  0.00
In (0.250, 0.250, 0.250)  -0.01
Cr (0.750, 0.750, 0.750)  3.72

=====

(8)
The following is a PBE calculation of a relaxed structure of CrInHg2, from Alexandria.

E_form (eV per atom): 0.383
V (Å³/f.u.): 96
Space-group type: I-42d
D(E_F) (states/eV/cell): 3.9

Cell lengths 4.324, 4.324, 10.685 Å; angles 78.33, 78.33, 90.00 degrees
Each line ends with the local moment (μB).
Sites, in units of the cell vectors:
In (0.750, 0.250, 0.500)  -0.04
In (0.000, 0.000, 0.000)  -0.04
Hg (0.375, 0.390, 0.750)  0.00
Hg (0.875, 0.860, 0.750)  0.00
Hg (0.140, 0.625, 0.250)  0.00
Hg (0.610, 0.125, 0.250)  0.00
Cr (0.250, 0.750, 0.500)  3.82
Cr (0.500, 0.500, 0.000)  3.83

=====

The highest V belongs to which entry? CrInHg4